Pr8GeRu3Br4 | PBE | relaxed

Summary:
formation energy from raw total energies	-848.4	meV/atom
raw total energy	-0.4178	Ry per atom
symmetry	R-3m

extended XYZ file:
```
16
Lattice="8.423 0.000 0.000 0.000 9.163 0.521 -4.212 -4.212 5.956" Properties=species:S:1:pos:R:3 pbc="T T T"
Pr -2.016 2.333 6.053
Pr 0.000 4.351 3.201
Pr 0.000 0.456 3.298
Pr 2.016 2.333 6.053
Pr 2.195 2.618 0.423
Pr 4.212 4.495 3.179
Pr 4.212 0.601 3.275
Pr 6.228 2.618 0.423
Ge 0.000 4.582 0.260
Ru 4.212 4.582 0.260
Ru 2.106 2.476 3.238
Ru -2.106 2.476 3.238
Br 4.212 0.000 0.000
Br 2.106 -2.106 2.978
Br 0.000 0.000 0.000
Br -2.106 -2.106 2.978
```